[1]
Sb2IrPbO (PBE-GGA, optimized geometry); ρ = 10.65 Mg/m³; uncorrected formation energy = 230.5 meV per atom; crystal system = tetragonal; DFT total energy = -4.924 eV/atom; symmetry = P4/mmm
1.0
4.597 0.000 0.000
0.000 4.862 0.000
0.000 0.000 4.597
Pb Sb Ir O
1 2 1 1
Direct
0.000 0.500 0.000
0.000 0.000 0.500
0.500 0.000 0.000
0.500 0.500 0.500
0.000 0.000 0.000



[2]
Sc2IrPbO8 (PBE-GGA, optimized geometry); ρ = 6.71 Mg/m³; uncorrected formation energy = -1867.0 meV per atom; crystal system = monoclinic; DFT total energy = -7.275 eV/atom; symmetry = P2/m
1.0
4.817 -0.046 -0.003
-0.024 4.823 -0.005
0.004 0.007 6.578
Sc Ir Pb O
2 1 1 8
Direct
0.500 0.500 0.748
0.500 0.500 0.252
0.000 0.000 0.000
0.000 0.000 0.500
0.193 0.808 0.220
0.719 0.717 0.000
0.807 0.192 0.220
0.807 0.192 0.780
0.281 0.283 0.000
0.193 0.808 0.780
0.684 0.683 0.500
0.316 0.317 0.500



[3]
ScIrPb2O6 (PBE-GGA, optimized geometry); ρ = 9.36 Mg/m³; uncorrected formation energy = -1562.9 meV per atom; crystal system = monoclinic; DFT total energy = -6.799 eV/atom; symmetry = P2_1/c
1.0
5.741 0.000 -0.023
0.000 5.720 0.000
0.018 0.000 8.075
Sc Ir Pb O
2 2 4 12
Direct
0.500 0.000 0.000
0.000 0.500 0.500
0.500 0.000 0.500
0.000 0.500 0.000
0.007 0.984 0.249
0.507 0.516 0.749
0.993 0.016 0.751
0.493 0.484 0.251
0.263 0.722 0.034
0.763 0.778 0.534
0.737 0.278 0.966
0.237 0.222 0.466
0.281 0.735 0.467
0.781 0.765 0.967
0.719 0.265 0.533
0.219 0.235 0.033
0.939 0.507 0.242
0.439 0.993 0.742
0.061 0.493 0.758
0.561 0.007 0.258